# 1
A relaxed structure of Ti5Tc. Source: Alexandria, functional PBE-GGA.

The structure in extended XYZ format:
```
6
Lattice="3.091 0.000 0.000 0.000 3.091 0.000 0.000 0.000 10.403" Properties=species:S:1:pos:R:3 pbc="T T T"
Ti 0.000 0.000 0.000
Ti 0.000 0.000 3.706
Ti 0.000 0.000 6.697
Ti 1.545 1.545 1.848
Ti 1.545 1.545 8.555
Tc 1.545 1.545 5.202
```

Space-group type   P4/mmm (123)
DOS(E_F)   1.85 states/eV per atom
Magnetic moment   0.00 μB per cell
E above lowest polymorph   0.000 eV per atom

***

# 2
A relaxed structure of Ti3Tc2. Source: Alexandria, functional PBE-GGA.

The structure in extended XYZ format:
```
10
Lattice="0.000 13.058 1.483 4.113 0.000 1.483 4.113 13.058 0.000" Properties=species:S:1:pos:R:3 pbc="T T T"
Ti 0.000 0.000 0.000
Ti 2.057 6.529 0.741
Ti 4.398 10.575 1.564
Ti 3.828 15.541 1.564
Ti 5.885 17.104 2.305
Ti 6.455 22.069 2.305
Tc 4.246 7.830 0.733
Tc 6.037 14.359 1.474
Tc 3.981 18.285 0.733
Tc 2.189 11.756 1.474
```

Space-group type   Fdd2 (43)
DOS(E_F)   1.03 states/eV per atom
Magnetic moment   0.00 μB per cell
E   -9.00 eV/atom